Entry 1:
# ThPaZnHg | Alexandria | GGA-PBE | optimized geometry
# **Formation energy**: 0.09 eV/atom
# **Density of states at the Fermi level**: 1.979 states/eV/atom
# **Magnetization**: 1.0 μB per formula unit
data_ThPaZnHg
_chemical_formula_sum 'Th4 Pa4 Zn4 Hg4'
_space_group_name_H-M_alt 'F -4 3 m'
_space_group_IT_number 216
_space_group_name_Hall 'F -4 2 3'
_cell_length_a 7.406
_cell_length_b 7.406
_cell_length_c 7.406
_cell_angle_alpha 90.00
_cell_angle_beta 90.00
_cell_angle_gamma 90.00
loop_
_atom_site_label
_atom_site_fract_x
_atom_site_fract_y
_atom_site_fract_z
_atom_site_occupancy
Th1 0.000 0.000 0.000 1
Pa1 0.000 0.000 0.500 1
Zn1 0.250 0.250 0.750 1
Hg1 0.250 0.250 0.250 1

=====

Entry 2:
# ThGa2Cu5 | Alexandria | GGA-PBE | optimized geometry
# **Formation energy**: -0.18 eV/atom
# **Density of states at the Fermi level**: 0.471 states/eV/atom
# **Magnetization**: 0.0 μB per formula unit
data_ThGa2Cu5
_chemical_formula_sum 'Th2 Ga4 Cu10'
_space_group_name_H-M_alt 'I m m m'
_space_group_IT_number 71
_space_group_name_Hall '-I 2 2'
_cell_length_a 3.916
_cell_length_b 6.773
_cell_length_c 9.746
_cell_angle_alpha 90.00
_cell_angle_beta 90.00
_cell_angle_gamma 90.00
loop_
_atom_site_label
_atom_site_fract_x
_atom_site_fract_y
_atom_site_fract_z
_atom_site_occupancy
Th1 0.000 0.000 0.000 1
Ga1 0.000 0.500 0.248 1
Cu1 0.000 0.183 0.369 1
Cu2 0.000 0.500 0.000 1

=====

Entry 3:
# BeV12Ge3 | Alexandria | GGA-PBE | optimized geometry
# **Formation energy**: -0.24 eV/atom
# **Density of states at the Fermi level**: 1.752 states/eV/atom
# **Magnetization**: 0.0 μB per formula unit
data_BeV12Ge3
_chemical_formula_sum 'Be1 V12 Ge3'
_space_group_name_H-M_alt 'P m m m'
_space_group_IT_number 47
_space_group_name_Hall '-P 2 2'
_cell_length_a 4.737
_cell_length_b 4.744
_cell_length_c 9.386
_cell_angle_alpha 90.00
_cell_angle_beta 90.00
_cell_angle_gamma 90.00
loop_
_atom_site_label
_atom_site_fract_x
_atom_site_fract_y
_atom_site_fract_z
_atom_site_occupancy
Be1 0.000 0.000 0.000 1
V1 0.000 0.500 0.117 1
V2 0.000 0.500 0.371 1
V3 0.250 0.000 0.243 1
V4 0.500 0.236 0.000 1
V5 0.500 0.251 0.500 1
Ge1 0.000 0.000 0.500 1
Ge2 0.500 0.500 0.250 1

=====

Entry 4:
# Ac6Pd2Rh3Br | Alexandria | GGA-PBE | optimized geometry
# **Density of states at the Fermi level**: 0.439 states/eV/atom
# **Magnetization**: 0.0 μB per formula unit
# **Formation energy without anion corrections**: -841 meV/atom
data_Ac6Pd2Rh3Br
_chemical_formula_sum 'Ac12 Pd4 Rh6 Br2'
_space_group_name_H-M_alt 'C 1 2/m 1'
_space_group_IT_number 12
_space_group_name_Hall '-C 2y'
_cell_length_a 19.380
_cell_length_b 4.337
_cell_length_c 9.001
_cell_angle_alpha 90.00
_cell_angle_beta 105.02
_cell_angle_gamma 90.00
loop_
_atom_site_label
_atom_site_fract_x
_atom_site_fract_y
_atom_site_fract_z
_atom_site_occupancy
Ac1 0.004 0.000 0.223 1
Ac2 0.166 0.500 0.089 1
Ac3 0.178 0.500 0.579 1
Pd1 0.165 0.000 0.829 1
Rh1 0.000 0.500 0.000 1
Rh2 0.163 0.000 0.331 1
Br1 0.000 0.500 0.500 1

=====

Entry 5:
# Na2TiTl2O6 | Alexandria | GGA-PBE | optimized geometry
# **Magnetization**: 0.0 μB per formula unit
# **Formation energy without anion corrections**: -1518 meV/atom
data_Na2TiTl2O6
_chemical_formula_sum 'Na4 Ti2 Tl4 O12'
_space_group_name_H-M_alt 'C 1 2/m 1'
_space_group_IT_number 12
_space_group_name_Hall '-C 2y'
_cell_length_a 5.770
_cell_length_b 9.716
_cell_length_c 5.941
_cell_angle_alpha 90.00
_cell_angle_beta 108.58
_cell_angle_gamma 90.00
loop_
_atom_site_label
_atom_site_fract_x
_atom_site_fract_y
_atom_site_fract_z
_atom_site_occupancy
Na1 0.000 0.166 0.000 1
Ti1 0.000 0.000 0.500 1
Tl1 0.000 0.335 0.500 1
O1 0.208 0.151 0.704 1
O2 0.223 0.000 0.302 1

=====

Entry 6:
# Li4C | Alexandria | GGA-PBE | optimized geometry
# **Formation energy**: 0.29 eV/atom
# **Density of states at the Fermi level**: 0.681 states/eV/atom
# **Relative energy among the computed polymorphs**: 0 meV/atom
# **Magnetization**: 0.0 μB per formula unit
data_Li4C
_chemical_formula_sum 'Li8 C2'
_space_group_name_H-M_alt 'I m -3 m'
_space_group_IT_number 229
_space_group_name_Hall '-I 4 2 3'
_cell_length_a 5.047
_cell_length_b 5.047
_cell_length_c 5.047
_cell_angle_alpha 90.00
_cell_angle_beta 90.00
_cell_angle_gamma 90.00
loop_
_atom_site_label
_atom_site_fract_x
_atom_site_fract_y
_atom_site_fract_z
_atom_site_occupancy
Li1 0.250 0.250 0.250 1
C1 0.000 0.000 0.000 1

=====

Entry 7:
# ZrTa2Cl | Alexandria | GGA-PBE | optimized geometry
# **Density of states at the Fermi level**: 1.148 states/eV/atom
# **Relative energy among the computed polymorphs**: 586 meV/atom
# **Magnetization**: 0.0 μB per formula unit
# **Formation energy without anion corrections**: 386 meV/atom
data_ZrTa2Cl
_chemical_formula_sum 'Zr1 Ta2 Cl1'
_space_group_name_H-M_alt 'P m m m'
_space_group_IT_number 47
_space_group_name_Hall '-P 2 2'
_cell_length_a 2.983
_cell_length_b 4.860
_cell_length_c 5.425
_cell_angle_alpha 90.00
_cell_angle_beta 90.00
_cell_angle_gamma 90.00
loop_
_atom_site_label
_atom_site_fract_x
_atom_site_fract_y
_atom_site_fract_z
_atom_site_occupancy
Zr1 0.000 0.000 0.000 1
Ta1 0.500 0.500 0.238 1
Cl1 0.000 0.000 0.500 1

=====

Entry 8:
# Cu3P4Se | Alexandria | GGA-PBE | optimized geometry
# **Density of states at the Fermi level**: 0.266 states/eV/atom
# **Magnetization**: 0.0 μB per formula unit
# **Formation energy without anion corrections**: 220 meV/atom
data_Cu3P4Se
_chemical_formula_sum 'Cu3 P4 Se1'
_space_group_name_H-M_alt 'P -4 3 m'
_space_group_IT_number 215
_space_group_name_Hall 'P -4 2 3'
_cell_length_a 5.063
_cell_length_b 5.063
_cell_length_c 5.063
_cell_angle_alpha 90.00
_cell_angle_beta 90.00
_cell_angle_gamma 90.00
loop_
_atom_site_label
_atom_site_fract_x
_atom_site_fract_y
_atom_site_fract_z
_atom_site_occupancy
Cu1 0.000 0.000 0.500 1
P1 0.338 0.338 0.662 1
Se1 0.000 0.000 0.000 1

=====

Entry 9:
# ErTeBrO4 | Alexandria | GGA-PBE | optimized geometry
# **Density of states at the Fermi level**: 0.041 states/eV/atom
# **Magnetization**: 0.0 μB per formula unit
# **Formation energy without anion corrections**: -1678 meV/atom
data_ErTeBrO4
_chemical_formula_sum 'Er4 Te4 Br4 O16'
_space_group_name_H-M_alt 'C 1 2/m 1'
_space_group_IT_number 12
_space_group_name_Hall '-C 2y'
_cell_length_a 10.616
_cell_length_b 7.170
_cell_length_c 6.988
_cell_angle_alpha 90.00
_cell_angle_beta 106.57
_cell_angle_gamma 90.00
loop_
_atom_site_label
_atom_site_fract_x
_atom_site_fract_y
_atom_site_fract_z
_atom_site_occupancy
Er1 0.230 0.000 0.119 1
Te1 0.135 0.500 0.269 1
Br1 0.007 0.000 0.758 1
O1 0.044 0.500 0.804 1
O2 0.204 0.313 0.144 1
O3 0.206 0.500 0.538 1

=====

Entry 10:
# Mn2AgCl | Alexandria | GGA-PBE | optimized geometry
# **Density of states at the Fermi level**: 0.260 states/eV/atom
# **Relative energy among the computed polymorphs**: 25 meV/atom
# **Magnetization**: 7.7 μB per formula unit
# **Formation energy without anion corrections**: 133 meV/atom
data_Mn2AgCl
_chemical_formula_sum 'Mn4 Ag2 Cl2'
_space_group_name_H-M_alt 'A m m 2'
_space_group_IT_number 38
_space_group_name_Hall 'A 2 -2'
_cell_length_a 3.079
_cell_length_b 3.122
_cell_length_c 15.119
_cell_angle_alpha 90.00
_cell_angle_beta 90.00
_cell_angle_gamma 90.00
loop_
_atom_site_label
_atom_site_fract_x
_atom_site_fract_y
_atom_site_fract_z
_atom_site_occupancy
Mn1 0.000 0.000 0.000 1
Mn2 0.500 0.000 0.388 1
Ag1 0.000 0.000 0.775 1
Cl1 0.500 0.000 0.122 1

=====

Entry 11:
# CeTmPt | Alexandria | GGA-PBE | optimized geometry
# **Formation energy**: -0.59 eV/atom
# **Density of states at the Fermi level**: 2.412 states/eV/atom
# **Relative energy among the computed polymorphs**: 174 meV/atom
# **Magnetization**: 0.9 μB per formula unit
data_CeTmPt
_chemical_formula_sum 'Ce1 Tm1 Pt1'
_space_group_name_H-M_alt 'P 3 m 1'
_space_group_IT_number 156
_space_group_name_Hall 'P 3 -2"'
_cell_length_a 4.6504
_cell_length_b 4.6504
_cell_length_c 4.0888
_cell_angle_alpha 90.00
_cell_angle_beta 90.00
_cell_angle_gamma 120.00
loop_
_atom_site_label
_atom_site_fract_x
_atom_site_fract_y
_atom_site_fract_z
_atom_site_occupancy
Ce1 0.0000 0.0000 0.0000 1
Tm1 0.6667 0.3333 0.4713 1
Pt1 0.3333 0.6667 0.6711 1

=====

Entry 12:
# CaBe2Re | Alexandria | GGA-PBE | optimized geometry
# **Formation energy**: 0.53 eV/atom
# **Density of states at the Fermi level**: 0.685 states/eV/atom
# **Relative energy among the computed polymorphs**: 241 meV/atom
# **Magnetization**: 0.0 μB per formula unit
data_CaBe2Re
_chemical_formula_sum 'Ca2 Be4 Re2'
_space_group_name_H-M_alt 'I m m 2'
_space_group_IT_number 44
_space_group_name_Hall 'I 2 -2'
_cell_length_a 2.680
_cell_length_b 4.675
_cell_length_c 9.205
_cell_angle_alpha 90.00
_cell_angle_beta 90.00
_cell_angle_gamma 90.00
loop_
_atom_site_label
_atom_site_fract_x
_atom_site_fract_y
_atom_site_fract_z
_atom_site_occupancy
Ca1 0.000 0.000 0.000 1
Be1 0.000 0.000 0.515 1
Be2 0.000 0.500 0.219 1
Re1 0.000 0.500 0.795 1